The following is a GGA-PBE calculation of a relaxed structure of NiSbRuI2, from the Alexandria database.

Lattice parameters (Å, degrees): 5.487 5.487 4.968 90.00 90.00 90.00
Positions (direct):
Ni 0.000 0.000 0.000
Sb 0.500 0.500 0.000
Ru 0.500 0.500 0.500
I 0.000 0.500 0.500
I 0.500 0.000 0.500

## Properties
- total DFT energy (no corrections) (eV per atom) = -3.501
- ρ (g cm⁻³) = 5.9
- excess energy over the best structure of this formula in the dataset (meV per atom) = 0
- DOS(E_F) (states/eV per atom) = 2.386
- uncorrected formation energy (eV per atom) = 0.9547
- space-group type = P4/mmm (123)